Record 1
DFT (PBE-GGA) results for an optimized crystal structure of TlCoTe2.

Output
- energy relative to the elements, uncorrected (eV/atom) = -0.146

Cell: 3.8298 3.8298 8.4157 Å, 101.15 101.15 59.46°
Last column: nearest neighbours and their distance in Å.
Fractional positions:
Tl: 0.0000 0.0000 0.0000  6 Te 3.46-3.60, 6 Tl 3.80-3.83
Co: 0.5000 0.5000 0.5000  6 Te 2.57
Te: 0.2128 0.2128 0.6606  3 Co 2.57
Te: 0.7872 0.7872 0.3394  3 Co 2.57


Record 2
DFT (PBE-GGA) results for an optimized crystal structure of Pr4Pd.

Output
- polymorph energy (0 for the lowest one) (kJ/mol of formula units) = 0.0

Cell: 7.6449 7.6449 7.6093 Å, 104.25 104.25 120.65°
Last column: nearest neighbours and their distance in Å.
Fractional positions:
Pr: 0.0040 0.9960 0.5000  1 Pd 2.89
Pr: 0.0968 0.5880 0.6842  1 Pd 2.88
Pr: 0.4541 0.5482 0.0800  1 Pd 2.88
Pr: 0.5482 0.4541 0.5800  1 Pd 2.88
Pr: 0.5611 0.9668 0.6051  1 Pd 2.88
Pr: 0.5880 0.0968 0.1842  1 Pd 2.88
Pr: 0.9668 0.5611 0.1051  1 Pd 2.88
Pr: 0.9960 0.0040 0.0000  1 Pd 2.89
Pd: 0.1524 0.4022 0.3419  4 Pr 2.88-2.89
Pd: 0.4022 0.1524 0.8419  4 Pr 2.88-2.89


Record 3
DFT (PBE-GGA) results for an optimized crystal structure of CsLaZrRe2.

Output
- VASP energy (eV per atom) = -5.4750

Cell: 5.0901 5.0901 5.4123 Å, 90.00 90.00 90.00°
Last column: nearest neighbours and their distance in Å.
Fractional positions:
Cs: 0.0000 0.0000 0.0000  4 Zr 3.60, 8 Re 3.71
La: 0.5000 0.5000 0.5000  4 Re 2.55, 2 Zr 2.71
Zr: 0.5000 0.5000 0.0000  2 La 2.71
Re: 0.0000 0.5000 0.5000  2 La 2.55
Re: 0.5000 0.0000 0.5000  2 La 2.55


Record 4
DFT (PBE-GGA) results for an optimized crystal structure of InSi2P.

Output
- polymorph energy (0 for the lowest one) (kJ/mol of formula units) = 0.0
- energy relative to the elements, uncorrected (eV/atom) = 0.122

Cell: 6.8562 6.8562 6.8562 Å, 130.33 130.33 72.87°
Last column: nearest neighbours and their distance in Å.
Fractional positions:
In: 0.0000 0.0000 0.0000  4 Si 2.60
In: 0.7500 0.2500 0.5000  4 Si 2.60
Si: 0.1659 0.6250 0.0409  2 P 2.33, 2 In 2.60
Si: 0.3750 0.4159 0.5409  2 P 2.33, 2 In 2.60
Si: 0.5841 0.1250 0.9591  2 P 2.33, 2 In 2.60
Si: 0.8750 0.8341 0.4591  2 P 2.33, 2 In 2.60
P: 0.2500 0.7500 0.5000  4 Si 2.33
P: 0.5000 0.5000 0.0000  4 Si 2.33


Record 5
DFT (PBE-GGA) results for an optimized crystal structure of Pm3TlOs.

Output
- polymorph energy (0 for the lowest one) (kJ/mol of formula units) = 0.0

Cell: 9.6751 8.9373 6.0288 Å, 77.89 64.58 37.54°
Last column: nearest neighbours and their distance in Å.
Fractional positions:
Pm: 0.1956 0.5797 0.4203  2 Os 2.89
Pm: 0.2007 0.2007 0.7993  4 Os 3.12, 2 Pm 3.41
Pm: 0.4203 0.8044 0.1956  2 Os 2.89
Pm: 0.5797 0.1956 0.8044  2 Os 2.89
Pm: 0.7993 0.7993 0.2007  4 Os 3.12, 2 Pm 3.41
Pm: 0.8044 0.4203 0.5797  2 Os 2.89
Tl: 0.2133 0.7867 0.7867  1 Tl 2.87
Tl: 0.7867 0.2133 0.2133  1 Tl 2.87
Os: 0.2500 0.2500 0.2500  8 Pm 2.89-3.12
Os: 0.7500 0.7500 0.7500  8 Pm 2.89-3.12


Record 6
DFT (PBE-GGA) results for an optimized crystal structure of YAlZn17.

Output
- VASP energy (eV per atom) = -1.7615

Cell: 6.8126 6.8126 6.8126 Å, 81.47 81.47 81.47°
Last column: nearest neighbours and their distance in Å.
Fractional positions:
Y: 0.0000 0.0000 0.0000  19 Zn 3.14-3.41, 1 Al 3.40
Al: 0.7471 0.7471 0.7471  12 Zn 2.78-3.11
Zn: 0.0063 0.3514 0.6448  7 Zn 2.61-2.75
Zn: 0.0063 0.6448 0.3514  7 Zn 2.61-2.75
Zn: 0.1792 0.6814 0.6814  9 Zn 2.56-2.79
Zn: 0.2400 0.2400 0.2400  7 Zn 2.62-2.78
Zn: 0.3221 0.3221 0.8331  10 Zn 2.55-2.74
Zn: 0.3221 0.8331 0.3221  10 Zn 2.55-2.74
Zn: 0.3514 0.0063 0.6448  7 Zn 2.61-2.75
Zn: 0.3514 0.6448 0.0063  7 Zn 2.61-2.75
Zn: 0.4353 0.4353 0.4353  7 Zn 2.62-2.79
Zn: 0.5014 0.9966 0.9966  9 Zn 2.55-2.78, 1 Al 2.78
Zn: 0.6448 0.0063 0.3514  7 Zn 2.61-2.75
Zn: 0.6448 0.3514 0.0063  7 Zn 2.61-2.75
Zn: 0.6814 0.1792 0.6814  9 Zn 2.56-2.79
Zn: 0.6814 0.6814 0.1792  9 Zn 2.56-2.79
Zn: 0.8331 0.3221 0.3221  10 Zn 2.55-2.74
Zn: 0.9966 0.5014 0.9966  9 Zn 2.55-2.78, 1 Al 2.78
Zn: 0.9966 0.9966 0.5015  9 Zn 2.55-2.78, 1 Al 2.78